Entry 1:
First-principles (GGA-PBE) data for an optimized crystal structure of La2Cd, as listed in the Alexandria database.

a = 8.5507 Å, b = 8.5507 Å, c = 4.7697 Å
α = 90.00°, β = 90.00°, γ = 120.00°
Space group P-62m (No. 189)
Asymmetric unit:
1 La 0.0000 0.2688 0.0000 [3 per cell]
2 La 0.0000 0.5953 0.5000 [3 per cell]
3 Cd 0.0000 0.0000 0.5000 [1 per cell]
4 Cd 0.3333 0.6667 0.0000 [2 per cell]

Results
**Volume**: 33.6 Å³ per atom
**Spin magnetization**: 0.0 μB/f.u.
**E**: -3.736 eV per atom

Entry 2:
First-principles (GGA-PBE) data for an optimized crystal structure of LaCd2, as listed in the Alexandria database.

a = 7.444 Å, b = 7.444 Å, c = 6.736 Å
α = 90.00°, β = 90.00°, γ = 90.00°
Space group I4/mcm (No. 140)
Asymmetric unit:
1 La 0.000 0.000 0.250 [4 per cell]
2 Cd 0.135 0.365 0.000 [8 per cell]

Results
**Volume**: 31.1 Å³ per atom
**Spin magnetization**: 0.0 μB/f.u.
**E**: -2.249 eV per atom

Entry 3:
First-principles (GGA-PBE) data for an optimized crystal structure of La3Cd, as listed in the Alexandria database.

a = 6.453 Å, b = 6.453 Å, c = 6.453 Å
α = 90.00°, β = 90.00°, γ = 90.00°
Space group Pm-3n (No. 223)
Asymmetric unit:
1 La 0.000 0.250 0.500 [6 per cell]
2 Cd 0.000 0.000 0.000 [2 per cell]

Results
**Volume**: 33.6 Å³ per atom
**Spin magnetization**: 1.2 μB/f.u.
**E**: -3.996 eV per atom

Entry 4:
First-principles (GGA-PBE) data for an optimized crystal structure of LaCd3, as listed in the Alexandria database.

a = 4.699 Å, b = 4.809 Å, c = 4.807 Å
α = 90.00°, β = 90.00°, γ = 90.00°
Space group Pmm2 (No. 25)
Asymmetric unit:
1 La 0.000 0.000 0.000 [1 per cell]
2 Cd 0.000 0.500 0.500 [1 per cell]
3 Cd 0.500 0.000 0.500 [1 per cell]
4 Cd 0.500 0.500 0.999 [1 per cell]

Results
**Volume**: 27.2 Å³ per atom
**Spin magnetization**: 0.0 μB/f.u.
**E**: -2.154 eV per atom

Entry 5:
First-principles (GGA-PBE) data for an optimized crystal structure of LaCd3, as listed in the Alexandria database.

a = 3.335 Å, b = 5.069 Å, c = 6.324 Å
α = 90.00°, β = 94.47°, γ = 90.00°
Space group P2/m (No. 10)
Asymmetric unit:
1 La 0.000 0.000 0.000 [1 per cell]
2 Cd 0.453 0.500 0.745 [2 per cell]
3 Cd 0.500 0.000 0.500 [1 per cell]

Results
**Volume**: 26.6 Å³ per atom
**Spin magnetization**: 0.0 μB/f.u.
**E**: -2.142 eV per atom

Entry 6:
First-principles (GGA-PBE) data for an optimized crystal structure of LaCd, as listed in the Alexandria database.

a = 3.6709 Å, b = 3.6709 Å, c = 10.7526 Å
α = 90.00°, β = 90.00°, γ = 120.00°
Space group P6_3/mmc (No. 194)
Asymmetric unit:
1 La 0.0000 0.0000 0.0000 [2 per cell]
2 Cd 0.3333 0.6667 0.2500 [2 per cell]

Results
**Volume**: 31.4 Å³ per atom
**Spin magnetization**: 0.0 μB/f.u.
**E**: -3.024 eV per atom

Entry 7:
First-principles (GGA-PBE) data for an optimized crystal structure of LaCd, as listed in the Alexandria database.

a = 3.4077 Å, b = 3.4077 Å, c = 12.4081 Å
α = 90.00°, β = 90.00°, γ = 120.00°
Space group P6_3mc (No. 186)
Asymmetric unit:
1 La 0.3333 0.6667 0.0000 [2 per cell]
2 Cd 0.3333 0.6667 0.7264 [2 per cell]

Results
**Volume**: 31.2 Å³ per atom
**Spin magnetization**: 0.0 μB/f.u.
**E**: -2.813 eV per atom

Entry 8:
First-principles (GGA-PBE) data for an optimized crystal structure of LaCd2, as listed in the Alexandria database.

a = 4.177 Å, b = 4.177 Å, c = 5.463 Å
α = 90.00°, β = 90.00°, γ = 90.00°
Space group P4/mmm (No. 123)
Asymmetric unit:
1 La 0.000 0.000 0.000 [1 per cell]
2 Cd 0.000 0.500 0.500 [2 per cell]

Results
**Volume**: 31.8 Å³ per atom
**Spin magnetization**: 0.0 μB/f.u.
**E**: -2.267 eV per atom

Entry 9:
First-principles (GGA-PBE) data for an optimized crystal structure of La5Cd, as listed in the Alexandria database.

a = 5.943 Å, b = 3.781 Å, c = 18.270 Å
α = 90.00°, β = 90.00°, γ = 90.00°
Space group Amm2 (No. 38)
Asymmetric unit:
1 La 0.000 0.000 0.000 [2 per cell]
2 La 0.000 0.000 0.314 [2 per cell]
3 La 0.500 0.000 0.129 [2 per cell]
4 La 0.500 0.000 0.460 [2 per cell]
5 La 0.500 0.000 0.786 [2 per cell]
6 Cd 0.000 0.000 0.659 [2 per cell]

Results
**Volume**: 34.2 Å³ per atom
**E above lowest polymorph**: 0.0417 eV/atom
**Spin magnetization**: 0.0 μB/f.u.
**E**: -4.326 eV per atom

Entry 10:
First-principles (GGA-PBE) data for an optimized crystal structure of LaCd13, as listed in the Alexandria database.

a = 13.835 Å, b = 13.835 Å, c = 13.835 Å
α = 90.00°, β = 90.00°, γ = 90.00°
Space group Fm-3c (No. 226)
Asymmetric unit:
1 La 0.250 0.250 0.250 [8 per cell]
2 Cd 0.000 0.000 0.000 [8 per cell]
3 Cd 0.000 0.123 0.180 [96 per cell]

Results
**Volume**: 23.6 Å³ per atom
**Spin magnetization**: 0.0 μB/f.u.
**E**: -1.274 eV per atom

Entry 11:
First-principles (GGA-PBE) data for an optimized crystal structure of La2Cd, as listed in the Alexandria database.

a = 8.291 Å, b = 8.291 Å, c = 5.666 Å
α = 90.00°, β = 90.00°, γ = 90.00°
Space group I4/mcm (No. 140)
Asymmetric unit:
1 La 0.151 0.349 0.000 [8 per cell]
2 Cd 0.000 0.000 0.250 [4 per cell]

Results
**Volume**: 32.5 Å³ per atom
**Spin magnetization**: 0.0 μB/f.u.
**E**: -3.743 eV per atom

Entry 12:
First-principles (GGA-PBE) data for an optimized crystal structure of La2Cd, as listed in the Alexandria database.

a = 14.736 Å, b = 14.736 Å, c = 14.736 Å
α = 90.00°, β = 90.00°, γ = 90.00°
Space group Fd-3m (No. 227, origin choice 2)
Asymmetric unit:
1 La 0.000 0.000 0.000 [16 per cell]
2 La 0.061 0.375 0.875 [48 per cell]
3 Cd 0.037 0.037 0.213 [32 per cell]

Results
**Volume**: 33.3 Å³ per atom
**Spin magnetization**: 0.0 μB/f.u.
**E**: -3.754 eV per atom

Entry 13:
First-principles (GGA-PBE) data for an optimized crystal structure of LaCd3, as listed in the Alexandria database.

a = 6.040 Å, b = 6.040 Å, c = 6.040 Å
α = 90.00°, β = 90.00°, γ = 90.00°
Space group Pm-3n (No. 223)
Asymmetric unit:
1 La 0.000 0.000 0.000 [2 per cell]
2 Cd 0.000 0.250 0.500 [6 per cell]

Results
**Volume**: 27.5 Å³ per atom
**Spin magnetization**: 0.0 μB/f.u.
**E**: -2.075 eV per atom

Entry 14:
First-principles (GGA-PBE) data for an optimized crystal structure of La13Cd2, as listed in the Alexandria database.

a = 6.631 Å, b = 8.740 Å, c = 9.970 Å
α = 69.46°, β = 77.36°, γ = 82.24°
Space group P-1 (No. 2)
Asymmetric unit:
1 La 0.000 0.000 0.000 [1 per cell]
2 La 0.056 0.418 0.711 [2 per cell]
3 La 0.209 0.184 0.226 [2 per cell]
4 La 0.253 0.595 0.947 [2 per cell]
5 La 0.293 0.984 0.652 [2 per cell]
6 La 0.452 0.371 0.417 [2 per cell]
7 La 0.477 0.792 0.148 [2 per cell]
8 Cd 0.124 0.793 0.454 [2 per cell]

Results
**Volume**: 35.1 Å³ per atom
**Spin magnetization**: 0.0 μB/f.u.
**E**: -4.457 eV per atom

Entry 15:
First-principles (GGA-PBE) data for an optimized crystal structure of LaCd3, as listed in the Alexandria database.

a = 5.252 Å, b = 5.252 Å, c = 7.400 Å
α = 90.00°, β = 90.00°, γ = 90.00°
Space group I4/mmm (No. 139)
Asymmetric unit:
1 La 0.000 0.000 0.000 [2 per cell]
2 Cd 0.000 0.000 0.500 [2 per cell]
3 Cd 0.000 0.500 0.250 [4 per cell]

Results
**Volume**: 25.5 Å³ per atom
**Spin magnetization**: 0.0 μB/f.u.
**E**: -2.245 eV per atom

Entry 16:
First-principles (GGA-PBE) data for an optimized crystal structure of La4Cd, as listed in the Alexandria database.

a = 7.364 Å, b = 7.364 Å, c = 7.364 Å
α = 90.00°, β = 90.00°, γ = 90.00°
Space group Im-3m (No. 229)
Asymmetric unit:
1 La 0.250 0.250 0.250 [8 per cell]
2 Cd 0.000 0.000 0.000 [2 per cell]

Results
**Volume**: 39.9 Å³ per atom
**E above lowest polymorph**: 0.4474 eV/atom
**Spin magnetization**: 1.6 μB/f.u.
**E**: -3.803 eV per atom

Entry 17:
First-principles (GGA-PBE) data for an optimized crystal structure of LaCd4, as listed in the Alexandria database.

a = 3.978 Å, b = 4.943 Å, c = 7.287 Å
α = 109.51°, β = 105.75°, γ = 90.13°
Space group P-1 (No. 2)
Asymmetric unit:
1 La 0.000 0.000 0.000 [1 per cell]
2 Cd 0.274 0.776 0.549 [2 per cell]
3 Cd 0.394 0.394 0.786 [2 per cell]

Results
**Volume**: 25.9 Å³ per atom
**Spin magnetization**: 0.0 μB/f.u.
**E**: -1.970 eV per atom

Entry 18:
First-principles (GGA-PBE) data for an optimized crystal structure of La3Cd, as listed in the Alexandria database.

a = 3.781 Å, b = 11.644 Å, c = 6.047 Å
α = 90.00°, β = 90.00°, γ = 90.00°
Space group Imm2 (No. 44)
Asymmetric unit:
1 La 0.000 0.000 0.000 [2 per cell]
2 La 0.000 0.224 0.387 [4 per cell]
3 Cd 0.000 0.500 0.033 [2 per cell]

Results
**Volume**: 33.3 Å³ per atom
**Spin magnetization**: 0.0 μB/f.u.
**E**: -4.072 eV per atom

Entry 19:
First-principles (GGA-PBE) data for an optimized crystal structure of La4Cd5, as listed in the Alexandria database.

a = 10.095 Å, b = 10.095 Å, c = 5.192 Å
α = 90.00°, β = 90.00°, γ = 90.00°
Space group I4/mmm (No. 139)
Asymmetric unit:
1 La 0.000 0.317 0.000 [8 per cell]
2 Cd 0.000 0.000 0.000 [2 per cell]
3 Cd 0.157 0.157 0.500 [8 per cell]

Results
**Volume**: 29.4 Å³ per atom
**E above lowest polymorph**: 0.0364 eV/atom
**Spin magnetization**: 0.0 μB/f.u.
**E**: -2.911 eV per atom

Entry 20:
First-principles (GGA-PBE) data for an optimized crystal structure of LaCd2, as listed in the Alexandria database.

a = 6.718 Å, b = 5.174 Å, c = 9.581 Å
α = 90.00°, β = 90.00°, γ = 90.00°
Space group Pnma (No. 62)
Asymmetric unit:
1 La 0.189 0.250 0.079 [4 per cell]
2 Cd 0.027 0.250 0.728 [4 per cell]
3 Cd 0.175 0.250 0.410 [4 per cell]

Results
**Volume**: 27.8 Å³ per atom
**Spin magnetization**: 0.0 μB/f.u.
**E**: -2.569 eV per atom